# 1
This record from Alexandria via LeMat-Bulk describes a geometry-optimized CrSb2W structure. The functional is PBE.

Computed properties:
The calculated total energy is -6.683 eV per atom. The raw formation energy comes out at 1.023 eV per atom. Its relative energy among the computed polymorphs is 0.796 eV/atom. The calculation puts the calculated volume at 30.29 A^3/atom.

Structure (POSCAR):
```
CrSb2W
1.0
6.352 0.000 0.000
0.000 6.352 0.000
3.176 3.176 6.006
Sb W Cr
4 2 2
Direct
0.635 0.125 0.250 Sb
0.375 0.365 0.750 Sb
0.875 0.885 0.750 Sb
0.115 0.625 0.250 Sb
0.000 0.000 0.000 W
0.750 0.250 0.500 W
0.500 0.500 0.000 Cr
0.250 0.750 0.500 Cr
```

---

# 2
This record from Alexandria via LeMat-Bulk describes a geometry-optimized Pr6In2Pt structure. The functional is PBE.

Computed properties:
The calculated total energy is -4.951 eV per atom. Its energy of formation is -0.48 eV per atom. Its relative energy among the computed polymorphs is 0.000 eV/atom. The calculation puts the calculated volume at 30.96 A^3/atom.

Structure (POSCAR):
```
Pr6In2Pt
1.0
3.948 0.000 0.000
0.000 8.201 -3.776
0.000 -0.831 8.989
Pr In Pt
6 2 1
Direct
0.500 0.601 0.000 Pr
0.000 0.753 0.753 Pr
0.500 0.399 0.399 Pr
0.000 0.000 0.247 Pr
0.500 0.000 0.601 Pr
0.000 0.247 0.000 Pr
0.000 0.667 0.333 In
0.000 0.333 0.667 In
0.500 0.000 0.000 Pt
```

---

# 3
This record from Alexandria via LeMat-Bulk describes a geometry-optimized Rb3U3GaS8 structure. The functional is PBE.

Computed properties:
The calculated total energy is -6.110 eV per atom. The raw formation energy comes out at -1.256 eV per atom. The calculation puts the calculated volume at 29.72 A^3/atom.

Structure (POSCAR):
```
Rb3U3GaS8
1.0
8.218 0.000 0.000
-4.109 7.118 -0.027
0.000 -4.718 7.639
S U Ga Rb
8 3 1 3
Direct
0.238 0.475 0.682 S
0.762 0.525 0.318 S
0.762 0.055 0.318 S
0.238 0.945 0.682 S
0.707 0.945 0.682 S
0.731 0.462 0.693 S
0.293 0.055 0.318 S
0.269 0.538 0.307 S
0.500 0.000 0.500 U
0.000 0.500 0.500 U
0.500 0.500 0.500 U
0.000 0.000 0.500 Ga
0.000 0.500 0.000 Rb
0.500 0.500 0.000 Rb
0.000 0.000 0.000 Rb
```

---

Question: Among the records above, which one has the highest calculated total energy?
Answer: Pr6In2Pt